Record 1
Computed, not measured: crystalline TlPAu2 at its relaxed geometry at the PBE level of DFT.

Cell: 5.1430 5.1430 3.0741 Å, 90.00 90.00 94.17°
Last column: nearest neighbours and their distance in Å.
Fractional coordinates of all 4 atoms:
Au 0.0000 0.0000 0.0000  4 Tl 3.00, 4 P 3.00, 2 Au 3.07
Au 0.5000 0.5000 0.0000  4 P 3.00, 4 Tl 3.00, 2 Au 3.07
P 0.5000 0.0000 0.5000  8 Au 3.00, 2 P 3.07
Tl 0.0000 0.5000 0.5000  8 Au 3.00, 2 Tl 3.07

Density of states at the Fermi level, states/eV/cell: 1.67
Energy relative to the elements, kJ/mol of formula units: 153



Record 2
Computed, not measured: crystalline TlPAu2 at its relaxed geometry at the PBE level of DFT.

Cell: 4.8431 4.8431 4.8431 Å, 60.00 60.00 60.00°
Last column: nearest neighbours and their distance in Å.
Fractional coordinates of all 4 atoms:
Tl 0.2500 0.2500 0.2500  4 Au 2.97, 4 P 2.97
P 0.5000 0.5000 0.5000  4 Au 2.97, 4 Tl 2.97
Au 0.0000 0.0000 0.0000  4 Tl 2.97, 4 Au 2.97
Au 0.7500 0.7500 0.7500  4 P 2.97, 4 Au 2.97

Density of states at the Fermi level, states/eV/cell: 2.69
Energy relative to the elements, kJ/mol of formula units: 171



Record 3
Computed, not measured: crystalline Tl12P3Au5 at its relaxed geometry at the PBE level of DFT.

Cell: 14.7790 14.7790 14.7790 Å, 109.47 109.47 109.47°
Last column: nearest neighbours and their distance in Å.
Fractional coordinates of all 80 atoms:
Au 0.3750 0.2500 0.1250  4 Tl 2.79
Au 0.6250 0.7500 0.8750  4 Tl 2.79
Au 0.1250 0.3750 0.2500  4 Tl 2.79
Au 0.7500 0.6250 0.3750  4 Tl 2.79
Au 0.5000 0.5000 0.5000  6 Tl 2.91
Au 0.5000 0.0000 0.0000  6 Tl 2.91
Au 0.6250 0.8750 0.2500  4 Tl 2.79
Au 0.5000 0.0000 0.5000  6 Tl 2.91
Au 0.8750 0.2500 0.6250  4 Tl 2.79
Au 0.5000 0.5000 0.0000  6 Tl 2.91
Au 0.0000 0.5000 0.0000  6 Tl 2.91
Au 0.0000 0.0000 0.5000  6 Tl 2.91
Au 0.2500 0.8750 0.1250  4 Tl 2.79
Au 0.0000 0.5000 0.5000  6 Tl 2.91
Au 0.0000 0.0000 0.0000  6 Tl 2.91
Au 0.7500 0.1250 0.8750  4 Tl 2.79
Au 0.1250 0.7500 0.3750  4 Tl 2.79
Au 0.2500 0.3750 0.6250  4 Tl 2.79
Au 0.8750 0.6250 0.7500  4 Tl 2.79
Au 0.3750 0.1250 0.7500  4 Tl 2.79
P 0.6250 0.3750 0.7500  8 Tl 3.02-3.25
P 0.6250 0.2500 0.3750  8 Tl 3.02-3.25
P 0.8750 0.7500 0.1250  8 Tl 3.02-3.25
P 0.3750 0.7500 0.6250  8 Tl 3.02-3.25
P 0.1250 0.2500 0.8750  8 Tl 3.02-3.25
P 0.8750 0.1250 0.2500  8 Tl 3.02-3.25
P 0.7500 0.8750 0.6250  8 Tl 3.02-3.25
P 0.3750 0.6250 0.2500  8 Tl 3.02-3.25
P 0.2500 0.1250 0.3750  8 Tl 3.02-3.25
P 0.7500 0.3750 0.1250  8 Tl 3.02-3.25
P 0.2500 0.6250 0.8750  8 Tl 3.02-3.25
P 0.1250 0.8750 0.7500  8 Tl 3.02-3.25
Tl 0.2278 0.5572 0.6327  2 Au 2.79-2.91, 1 P 3.02
Tl 0.4428 0.6706 0.0755  2 Au 2.79-2.91, 1 P 3.02
Tl 0.7722 0.3294 0.9049  2 Au 2.79-2.91, 1 P 3.02
Tl 0.8294 0.9245 0.0572  2 Au 2.79-2.91, 1 P 3.02
Tl 0.1706 0.0755 0.9428  2 Au 2.79-2.91, 1 P 3.02
Tl 0.0572 0.6327 0.7278  2 Au 2.79-2.91, 1 P 3.02
Tl 0.1327 0.7278 0.5572  2 Au 2.79-2.91, 1 P 3.02
Tl 0.0951 0.9245 0.3673  2 Au 2.79-2.91, 1 P 3.02
Tl 0.2722 0.4049 0.8294  2 Au 2.79-2.91, 1 P 3.02
Tl 0.0755 0.1706 0.4428  2 Au 2.79-2.91, 1 P 3.02
Tl 0.0572 0.4245 0.8294  2 Au 2.79-2.91, 1 P 3.02
Tl 0.2278 0.6706 0.0951  2 Au 2.79-2.91, 1 P 3.02
Tl 0.9428 0.5755 0.1706  2 Au 2.79-2.91, 1 P 3.02
Tl 0.4428 0.7722 0.8673  2 Au 2.79-2.91, 1 P 3.02
Tl 0.5951 0.8673 0.4245  2 Au 2.79-2.91, 1 P 3.02
Tl 0.2722 0.8673 0.9428  2 Au 2.79-2.91, 1 P 3.02
Tl 0.3294 0.5572 0.4245  2 Au 2.79-2.91, 1 P 3.02
Tl 0.6327 0.0572 0.2278  2 Au 2.79-2.91, 1 P 3.02
Tl 0.5572 0.3294 0.9245  2 Au 2.79-2.91, 1 P 3.02
Tl 0.7278 0.1327 0.0572  2 Au 2.79-2.91, 1 P 3.02
Tl 0.4049 0.2722 0.3294  2 Au 2.79-2.91, 1 P 3.02
Tl 0.4245 0.0572 0.3294  2 Au 2.79-2.91, 1 P 3.02
Tl 0.6327 0.5755 0.9049  2 Au 2.79-2.91, 1 P 3.02
Tl 0.6706 0.4428 0.5755  2 Au 2.79-2.91, 1 P 3.02
Tl 0.7722 0.4428 0.3673  2 Au 2.79-2.91, 1 P 3.02
Tl 0.1327 0.4049 0.0755  2 Au 2.79-2.91, 1 P 3.02
Tl 0.5572 0.2278 0.1327  2 Au 2.79-2.91, 1 P 3.02
Tl 0.4245 0.3673 0.5951  2 Au 2.79-2.91, 1 P 3.02
Tl 0.0755 0.9049 0.1327  2 Au 2.79-2.91, 1 P 3.02
Tl 0.3673 0.9428 0.7722  2 Au 2.79-2.91, 1 P 3.02
Tl 0.9049 0.0755 0.6327  2 Au 2.79-2.91, 1 P 3.02
Tl 0.1706 0.0951 0.7278  2 Au 2.79-2.91, 1 P 3.02
Tl 0.9049 0.8294 0.7722  2 Au 2.79-2.91, 1 P 3.02
Tl 0.9245 0.8294 0.5572  2 Au 2.79-2.91, 1 P 3.02
Tl 0.5755 0.9428 0.6706  2 Au 2.79-2.91, 1 P 3.02
Tl 0.0951 0.1706 0.2278  2 Au 2.79-2.91, 1 P 3.02
Tl 0.5951 0.7278 0.6706  2 Au 2.79-2.91, 1 P 3.02
Tl 0.3673 0.4245 0.0951  2 Au 2.79-2.91, 1 P 3.02
Tl 0.8294 0.9049 0.2722  2 Au 2.79-2.91, 1 P 3.02
Tl 0.8673 0.5951 0.9245  2 Au 2.79-2.91, 1 P 3.02
Tl 0.9245 0.0951 0.8673  2 Au 2.79-2.91, 1 P 3.02
Tl 0.4049 0.1327 0.5755  2 Au 2.79-2.91, 1 P 3.02
Tl 0.3294 0.7722 0.4049  2 Au 2.79-2.91, 1 P 3.02
Tl 0.5755 0.6327 0.4049  2 Au 2.79-2.91, 1 P 3.02
Tl 0.8673 0.2722 0.4428  2 Au 2.79-2.91, 1 P 3.02
Tl 0.6706 0.2278 0.5951  2 Au 2.79-2.91, 1 P 3.02
Tl 0.7278 0.5951 0.1706  2 Au 2.79-2.91, 1 P 3.02
Tl 0.9428 0.3673 0.2722  2 Au 2.79-2.91, 1 P 3.02

Density of states at the Fermi level, states/eV/cell: 25.33
Energy relative to the elements, kJ/mol of formula units: 296



Record 4
Computed, not measured: crystalline Tm2PAu at its relaxed geometry at the PBE level of DFT.

Cell: 3.9269 3.9269 7.3368 Å, 74.48 74.48 60.00°
Last column: nearest neighbours and their distance in Å.
Fractional coordinates of all 4 atoms:
P 0.0000 0.0000 0.0000  6 Tm 2.77
Tm 0.7425 0.7425 0.7725  3 P 2.77, 3 Au 2.96
Tm 0.2575 0.2575 0.2275  3 P 2.77, 3 Au 2.96
Au 0.5000 0.5000 0.5000  6 Tm 2.96

Density of states at the Fermi level, states/eV/cell: 2.89
Energy relative to the elements, kJ/mol of formula units: -430



What is the density of states at the Fermi level in the third record?
25.33 states/eV/cell



Look up the energy relative to the elements of the fourth one.
-430 kJ/mol of formula units



What is the formula in the first record?
TlPAu2